SnRuI2O | PBE-GGA | relaxed

Calculated values
Symmetry: P4/mmm (123)
Formation energy (no corrections) in eV per formula unit: -0.74
Crystal system: tetragonal
Relative energy among the computed polymorphs in kJ/mol of formula units: 0

Lattice parameters (Å, degrees): 5.721 5.721 3.800 90.00 90.00 90.00
Atoms (fractional coordinates):
I1 0.000 0.500 0.000
O1 0.000 0.000 0.500
Ru1 0.000 0.000 0.000
I2 0.500 0.000 0.000
Sn1 0.500 0.500 0.500

NaRe2I | PBE-GGA | relaxed

Calculated values
Symmetry: Fm-3m (225)
Formation energy (no corrections) in eV per formula unit: 6.97
Crystal system: cubic
Relative energy among the computed polymorphs in kJ/mol of formula units: 0

Lattice parameters (Å, degrees): 4.582 4.582 4.582 60.00 60.00 60.00
Atoms (fractional coordinates):
Re1 0.750 0.750 0.750
Re2 0.250 0.250 0.250
Na1 0.000 0.000 0.000
I1 0.500 0.500 0.500

BaCa2ZnNi | PBE-GGA | relaxed

Calculated values
Symmetry: P4/mmm (123)
Energy of formation from the pure elements in meV per atom: -20
Crystal system: tetragonal

Lattice parameters (Å, degrees): 5.491 5.491 4.984 90.00 90.00 90.00
Atoms (fractional coordinates):
Ba1 0.500 0.500 0.500
Ca1 0.000 0.500 0.000
Ca2 0.500 0.000 0.000
Ni1 0.000 0.000 0.000
Zn1 0.000 0.000 0.500

SiOsW2 | PBE-GGA | relaxed

Calculated values
Symmetry: Imm2 (44)
Formation energy (no corrections) in eV per formula unit: 0.04
Crystal system: orthorhombic

Lattice parameters (Å, degrees): 5.227 5.227 4.461 64.77 64.77 32.59
Atoms (fractional coordinates):
Si1 0.242 0.242 0.258
W1 0.977 0.977 0.023
W2 0.758 0.758 0.742
Os1 0.523 0.523 0.477

La2GdSn | PBE-GGA | relaxed

Calculated values
Symmetry: P4/mmm (123)
Energy of formation from the pure elements in meV per atom: -472
Crystal system: tetragonal
Relative energy among the computed polymorphs in kJ/mol of formula units: 0

Lattice parameters (Å, degrees): 5.019 4.961 4.961 90.00 90.00 90.00
Atoms (fractional coordinates):
La1 0.000 0.000 0.500
La2 0.000 0.500 0.000
Sn1 0.500 0.000 0.000
Gd1 0.500 0.500 0.500

La3InCo | PBE-GGA | relaxed

Calculated values
Symmetry: C2/m (12)
Energy of formation from the pure elements in meV per atom: -257
Crystal system: monoclinic
Relative energy among the computed polymorphs in kJ/mol of formula units: 17

Lattice parameters (Å, degrees): 18.575 6.948 6.948 147.17 139.90 40.10
Atoms (fractional coordinates):
Co1 0.905 0.857 0.143
La1 0.616 0.214 0.786
La2 0.831 0.307 0.693
In1 0.390 0.055 0.945
La3 0.384 0.786 0.214
In2 0.610 0.945 0.055
La4 0.169 0.693 0.307
La5 0.885 0.513 0.487
La6 0.115 0.487 0.513
Co2 0.095 0.143 0.857

As2Pd7Au | PBE-GGA | relaxed

Calculated values
Symmetry: I4/mmm (139)
Energy of formation from the pure elements in meV per atom: -272
Crystal system: tetragonal
Relative energy among the computed polymorphs in kJ/mol of formula units: 0

Lattice parameters (Å, degrees): 4.062 4.062 10.516 101.14 101.14 90.00
Atoms (fractional coordinates):
Pd1 0.601 0.101 0.201
Au1 0.000 0.000 0.000
As1 0.671 0.671 0.342
Pd2 0.500 0.500 0.000
Pd3 0.399 0.899 0.799
Pd4 0.250 0.750 0.500
As2 0.329 0.329 0.658
Pd5 0.750 0.250 0.500
Pd6 0.101 0.601 0.201
Pd7 0.899 0.399 0.799

PrHo5Sc4 | PBE-GGA | relaxed

Calculated values
Symmetry: I4 (79)
Energy of formation from the pure elements in meV per atom: 338
Crystal system: tetragonal
Relative energy among the computed polymorphs in kJ/mol of formula units: 48

Lattice parameters (Å, degrees): 6.169 7.603 7.603 80.53 66.07 66.07
Atoms (fractional coordinates):
Pr1 0.223 0.000 0.000
Sc1 0.812 0.698 0.583
Ho1 0.096 0.607 0.099
Sc2 0.510 0.583 0.302
Sc3 0.395 0.417 0.698
Ho2 0.679 0.000 0.000
Ho3 0.803 0.393 0.901
Ho4 0.195 0.901 0.607
Ho5 0.704 0.099 0.393
Sc4 0.093 0.302 0.417

LiTbTlNi | PBE-GGA | relaxed

Calculated values
Symmetry: F-43m (216)
Energy of formation from the pure elements in meV per atom: -245
Crystal system: cubic

Lattice parameters (Å, degrees): 4.726 4.726 4.726 60.00 60.00 60.00
Atoms (fractional coordinates):
Tb1 0.000 0.000 0.000
Tl1 0.500 0.500 0.500
Ni1 0.250 0.250 0.250
Li1 0.750 0.750 0.750

TmLuTlZn | PBE-GGA | relaxed

Calculated values
Symmetry: F-43m (216)
Energy of formation from the pure elements in meV per atom: -290
Crystal system: cubic

Lattice parameters (Å, degrees): 5.143 5.143 5.143 60.00 60.00 60.00
Atoms (fractional coordinates):
Lu1 0.750 0.750 0.750
Zn1 0.000 0.000 0.000
Tm1 0.250 0.250 0.250
Tl1 0.500 0.500 0.500

Re2Ni2Rh7 | PBE-GGA | relaxed

Calculated values
Symmetry: Cmmm (65)
Energy of formation from the pure elements in meV per atom: 538
Crystal system: orthorhombic

Lattice parameters (Å, degrees): 5.593 5.625 5.593 90.00 98.74 90.00
Atoms (fractional coordinates):
Rh1 0.500 0.734 0.000
Rh2 0.000 0.266 0.500
Rh3 0.000 0.734 0.500
Re1 0.838 0.500 0.838
Rh4 0.500 0.279 0.500
Rh5 0.500 0.721 0.500
Ni1 0.715 0.000 0.285
Rh6 0.500 0.266 0.000
Re2 0.162 0.500 0.162
Rh7 0.000 0.000 0.000
Ni2 0.285 0.000 0.715

Na2Al2Cd | PBE-GGA | relaxed

Calculated values
Symmetry: I4/mmm (139)
Energy of formation from the pure elements in meV per atom: 180
Crystal system: tetragonal
Relative energy among the computed polymorphs in kJ/mol of formula units: 27

Lattice parameters (Å, degrees): 3.805 3.805 9.670 78.65 78.65 90.00
Atoms (fractional coordinates):
Na1 0.395 0.395 0.210
Na2 0.605 0.605 0.790
Al1 0.750 0.250 0.500
Cd1 0.000 0.000 0.000
Al2 0.250 0.750 0.500

Computed total magnetic moment, in the same sequence as the records: 0.004, 0.000, 0.000, 0.000, 7.707, 0.000, 0.000, 0.003, 0.000, 0.002, 0.000, 0.000 μB per cell.